[1]
## ZnCdAgF6 (PBE-GGA)

Data for a relaxed ZnCdAgF6 crystal.

Cell and atoms, written as POSCAR:
```
ZnCdAgF6
1.0
4.991 0.000 0.000
0.000 4.991 0.000
0.000 0.000 10.466
F Zn Ag Cd
12 2 2 2
direct
0.692 0.692 0.989
0.308 0.308 0.989
0.285 0.285 0.331
0.785 0.215 0.831
0.808 0.192 0.489
0.192 0.808 0.489
0.715 0.715 0.331
0.188 0.812 0.181
0.215 0.785 0.831
0.688 0.688 0.681
0.812 0.188 0.181
0.312 0.312 0.681
0.000 0.000 0.332
0.500 0.500 0.832
0.500 0.500 0.498
0.000 0.000 0.998
0.500 0.500 0.168
0.000 0.000 0.668
```

Output
- calculated density (Mg/m³) = 5.09
- total magnetization (Bohr magnetons per cell) = 2.082
- DOS at the Fermi energy (states/eV/f.u.) = 4.188
- SG = P4_2nm (102)
- formation energy (no corrections) (meV per atom) = -1846

[2]
## Pr4Ho10Th (PBE-GGA)

Data for a relaxed Pr4Ho10Th crystal.

Cell and atoms, written as POSCAR:
```
Pr4Ho10Th
1.0
-0.394 2.459 7.698
7.275 -1.267 5.029
2.537 8.396 1.700
Ho Pr Th
10 4 1
direct
0.910 0.794 0.794
0.250 0.500 0.500
0.498 0.206 0.206
0.090 0.206 0.206
0.750 0.500 0.500
0.502 0.794 0.794
0.296 0.206 0.794
0.296 0.794 0.206
0.704 0.794 0.206
0.704 0.206 0.794
0.225 0.000 0.550
0.775 0.000 0.450
0.225 0.550 0.000
0.775 0.450 0.000
0.000 0.000 0.000
```

Output
- calculated density (Mg/m³) = 7.91
- total magnetization (Bohr magnetons per cell) = 0.000
- DOS at the Fermi energy (states/eV/f.u.) = 16.619
- formation energy from the elements (meV/atom) = 250
- SG = I4/mmm (139)

[3]
## YBe3Ag (PBE-GGA)

Data for a relaxed YBe3Ag crystal.

Cell and atoms, written as POSCAR:
```
YBe3Ag
1.0
-2.984 -1.716 -2.654
-2.545 -0.860 3.417
-1.874 3.900 -0.414
Y Ag Be
1 1 3
direct
0.500 0.500 0.500
0.000 0.000 0.000
0.000 0.500 0.000
0.000 0.000 0.500
0.500 0.000 0.000
```

Output
- calculated density (Mg/m³) = 4.53
- total magnetization (Bohr magnetons per cell) = 0.000
- DOS at the Fermi energy (states/eV/f.u.) = 1.709
- distance to the lowest polymorph of the same formula (meV/atom) = 0
- formation energy from the elements (meV/atom) = 338
- SG = Pm-3m (221)

[4]
## Ca2TaRu2 (PBE-GGA)

Data for a relaxed Ca2TaRu2 crystal.

Cell and atoms, written as POSCAR:
```
Ca2TaRu2
1.0
6.581 0.000 0.000
0.000 6.581 0.000
0.000 0.000 4.946
Ca Ta Ru
4 2 4
direct
0.175 0.675 0.500
0.325 0.175 0.500
0.825 0.325 0.500
0.675 0.825 0.500
0.500 0.500 0.000
0.000 0.000 0.000
0.634 0.134 0.000
0.866 0.634 0.000
0.134 0.366 0.000
0.366 0.866 0.000
```

Output
- calculated density (Mg/m³) = 7.18
- total magnetization (Bohr magnetons per cell) = 0.000
- DOS at the Fermi energy (states/eV/f.u.) = 4.016
- distance to the lowest polymorph of the same formula (meV/atom) = 0
- formation energy from the elements (meV/atom) = 92
- SG = P4/mbm (127)